Computed, not measured: an optimized crystal structure of Ca2PrAl at the PBE level of DFT.

Results
- Space group: P4/mmm (123)
- Energy above the most stable polymorph in this dataset: 0.0000 eV/atom
- VASP energy: -3.217 eV/atom
- E_form: -33 kJ/mol of formula units

a = 5.278 Å, b = 4.866 Å, c = 4.866 Å
α = 90.00°, β = 90.00°, γ = 90.00°
Fractional positions:
Ca 0.000 0.500 0.000
Ca 0.000 0.000 0.500
Pr 0.500 0.000 0.000
Al 0.500 0.500 0.500

***

Computed, not measured: an optimized crystal structure of Tl2CdInPb at the PBE level of DFT.

Results
- Space group: P2_1/m (11)
- VASP energy: -2.384 eV/atom
- E_form: 17 kJ/mol of formula units

a = 5.600 Å, b = 5.480 Å, c = 9.860 Å
α = 73.10°, β = 90.00°, γ = 90.00°
Fractional positions:
Tl 0.250 0.969 0.600
Tl 0.750 0.031 0.400
Tl 0.250 0.175 0.191
Tl 0.750 0.825 0.809
Pb 0.250 0.364 0.810
Pb 0.750 0.636 0.190
Cd 0.750 0.229 0.998
Cd 0.250 0.771 0.002
In 0.250 0.570 0.395
In 0.750 0.430 0.605